# 1
VASP calculation (PBE) on a geometry-optimized Sc8CoNi2 structure.

a b c (Å): 4.6731 6.1987 8.1607
angles (deg): 107.94 106.64 90.00
Element x y z (fractional)
Sc1 0.1974 0.3080 0.3948
Sc2 0.9682 0.2066 0.9364
Ni1 0.8178 0.3012 0.6356
Sc3 0.8026 0.6920 0.6052
Sc4 0.3319 0.0293 0.6638
Sc5 0.0318 0.7934 0.0636
Sc6 0.6681 0.9707 0.3362
Sc7 0.5952 0.4438 0.1904
Ni2 0.1822 0.6988 0.3644
Sc8 0.4048 0.5562 0.8096
Co1 0.5000 0.0000 0.0000

## Properties
- Energy above the lowest structure with this stoichiometry: 0.0 kJ/mol of formula units
- D(E_F): 1.037 states/eV/atom


# 2
VASP calculation (PBE) on a geometry-optimized ScCoNi2 structure.

a b c (Å): 8.4998 8.4998 8.4998
angles (deg): 18.32 18.32 18.32
Element x y z (fractional)
Ni1 0.0009 0.0009 0.0009
Ni2 0.2551 0.2551 0.2551
Sc1 0.5006 0.5006 0.5006
Co1 0.7433 0.7433 0.7433

## Properties
- D(E_F): 1.472 states/eV/atom
- VASP energy: -6.0256 eV/atom